A plane-wave DFT calculation with PBE was carried out for Tm2MgTiO6 after structural relaxation.

POSCAR file:
```
Tm2MgTiO6
1.0
5.266 0.000 0.000
0.000 5.591 0.000
-5.210 0.000 7.660
Tm Mg Ti O
4 2 2 12
direct
0.226 0.069 0.247
0.226 0.431 0.747
0.774 0.569 0.253
0.774 0.931 0.753
0.000 0.000 0.500
0.000 0.500 0.000
0.500 0.000 0.000
0.500 0.500 0.500
0.139 0.187 0.941
0.139 0.313 0.441
0.249 0.702 0.932
0.249 0.798 0.432
0.381 0.050 0.758
0.381 0.450 0.258
0.619 0.550 0.742
0.619 0.950 0.242
0.751 0.202 0.568
0.751 0.298 0.068
0.861 0.687 0.559
0.861 0.813 0.059
```

Calculated values
- symmetry = P2_1/c, No. 14
- volume (Å³/f.u.) = 112.77
- total magnetic moment (μB per formula unit) = 0.00
- uncorrected energy (eV/atom) = -8.128
- raw formation energy (kJ/mol of atoms) = -319.33